No. 1
Entry from the Alexandria database: a geometry-optimized CaSiAs2 structure (PBE).

Cell lengths 10.765, 10.550, 13.894 Å; angles 90.00, 100.65, 90.00 degrees
Space group C2/c (No. 15)
Unique sites:
Ca: 0.009 0.167 0.390 [8 per cell]
Ca: 0.207 0.457 0.127 [8 per cell]
Si: 0.102 0.187 0.653 [8 per cell]
Si: 0.141 0.439 0.844 [8 per cell]
As: 0.000 0.055 0.750 [4 per cell]
As: 0.000 0.409 0.250 [4 per cell]
As: 0.012 0.348 0.949 [8 per cell]
As: 0.182 0.035 0.552 [8 per cell]
As: 0.240 0.196 0.243 [8 per cell]

Summary:
Uncorrected formation energy in meV/atom: -570
DFT total energy in eV/cell: -304.0

***

No. 2
Entry from the Alexandria database: a geometry-optimized KS2N2 structure (PBE).

Cell lengths 4.871, 4.871, 6.106 Å; angles 90.00, 90.00, 90.00 degrees
Space group P4/mmm (No. 123)
Unique sites:
K: 0.000 0.000 0.000 [1 per cell]
S: 0.000 0.000 0.500 [1 per cell]
S: 0.500 0.500 0.500 [1 per cell]
N: 0.000 0.500 0.000 [2 per cell]

Summary:
Polymorph energy (0 for the lowest one) in meV per atom: 2865
Uncorrected formation energy in meV/atom: 2540
DFT total energy in eV/cell: -13.3

***

No. 3
Entry from the Alexandria database: a geometry-optimized LiTaHCl2 structure (PBE).

Cell lengths 4.881, 4.881, 3.043 Å; angles 90.00, 90.00, 90.00 degrees
Space group P4/mmm (No. 123)
Unique sites:
Li: 0.000 0.000 0.000 [1 per cell]
Ta: 0.500 0.500 0.000 [1 per cell]
H: 0.000 0.000 0.500 [1 per cell]
Cl: 0.000 0.500 0.500 [2 per cell]

Summary:
DFT total energy in eV/cell: -19.2

***

No. 4
Entry from the Alexandria database: a geometry-optimized BaMgIn2 structure (PBE).

Cell lengths 4.9501, 4.9501, 18.9898 Å; angles 90.00, 90.00, 120.00 degrees
Space group R3m (No. 160, hexagonal axes)
Unique sites:
Ba: 0.0000 0.0000 0.0000 [3 per cell]
Mg: 0.0000 0.0000 0.1962 [3 per cell]
In: 0.0000 0.0000 0.5335 [3 per cell]
In: 0.0000 0.0000 0.7852 [3 per cell]

Summary:
Calculated formation energy in eV per formula unit: -1.02
DFT total energy in eV/cell: -30.0

***

No. 5
Entry from the Alexandria database: a geometry-optimized SmTm4Pd2 structure (PBE).

Cell lengths 3.8250, 3.8250, 46.3871 Å; angles 90.00, 90.00, 120.00 degrees
Space group R-3m (No. 166, hexagonal axes)
Unique sites:
Sm: 0.0000 0.0000 0.0000 [3 per cell]
Tm: 0.0000 0.0000 0.1977 [6 per cell]
Tm: 0.0000 0.0000 0.3950 [6 per cell]
Pd: 0.0000 0.0000 0.0986 [6 per cell]

Summary:
Polymorph energy (0 for the lowest one) in meV per atom: 68
Calculated formation energy in eV per formula unit: -2.70
DFT total energy in eV/cell: -107.1

***

No. 6
Entry from the Alexandria database: a geometry-optimized MgScBe2 structure (PBE).

Cell lengths 6.935, 6.935, 5.719 Å; angles 90.00, 90.00, 90.00 degrees
Space group I-42d (No. 122)
Unique sites:
Mg: 0.000 0.000 0.000 [4 per cell]
Sc: 0.000 0.000 0.500 [4 per cell]
Be: 0.240 0.250 0.125 [8 per cell]

Summary:
Calculated formation energy in eV per formula unit: 2.48
DFT total energy in eV/cell: -51.6

***

No. 7
Entry from the Alexandria database: a geometry-optimized CsH2Se6S2 structure (PBE).

Cell lengths 7.549, 7.905, 8.179 Å; angles 116.27, 96.62, 112.85 degrees
Space group P-1 (No. 2)
Unique sites:
Cs: 0.000 0.000 0.000 [1 per cell]
H: 0.179 0.630 0.263 [2 per cell]
Se: 0.138 0.157 0.659 [2 per cell]
Se: 0.179 0.681 0.578 [2 per cell]
Se: 0.185 0.617 0.073 [2 per cell]
S: 0.350 0.029 0.656 [2 per cell]

Summary:
DFT total energy in eV/cell: -37.6

***

No. 8
Entry from the Alexandria database: a geometry-optimized Ho2Ga2Co2C structure (PBE).

Cell lengths 10.749, 3.943, 6.873 Å; angles 90.00, 128.44, 90.00 degrees
Space group C2/m (No. 12)
Unique sites:
Ho: 0.054 0.000 0.283 [4 per cell]
Ga: 0.160 0.500 0.705 [4 per cell]
Co: 0.194 0.500 0.089 [4 per cell]
C: 0.000 0.500 0.000 [2 per cell]

Summary:
Calculated formation energy in eV per formula unit: -3.63
DFT total energy in eV/cell: -84.6

***

no.,spin magnetization (μB/f.u.)
1,0.0
2,6.5
3,1.2
4,0.0
5,0.0
6,0.0
7,0.0
8,0.0